## Pm2NbCrO6 (PBE+U)

Data for a relaxed Pm2NbCrO6 crystal.

Properties
The raw total energy is -8.237 eV/atom. As for the density of states at the Fermi level: 0.118 states/eV per atom.

abc: 5.1951 5.3147 5.3147
angles: 90.00 90.00 90.00
With the nearest neighbours (Å) after each atom.
Fractional coordinates of all 10 atoms:
Pm 0.0024 0.5000 0.0000  4 O 2.35
O 0.1670 0.5000 0.5000  1 Cr 2.22
O 0.7322 0.2424 0.7576  1 Nb 2.03, 1 Cr 2.06
Pm 0.0024 0.0000 0.5000  4 O 2.35
O 0.7322 0.2424 0.2424  1 Nb 2.03, 1 Cr 2.06
O 0.7322 0.7576 0.7576  1 Nb 2.03, 1 Cr 2.06
Cr 0.5944 0.5000 0.5000  5 O 2.06-2.22
Nb 0.5602 0.0000 0.0000  5 O 1.91-2.03
O 0.1917 0.0000 0.0000  1 Nb 1.91
O 0.7322 0.7576 0.2424  1 Nb 2.03, 1 Cr 2.06